## i
First-principles (PBE) data for a relaxed Zr2TiCo2 crystal, as listed in Alexandria.

Output
total magnetization	0.0	μB/cell
calculated volume	83	Å³/cell

a b c (Å): 5.2492 5.2492 3.7883
angles (deg): 111.07 111.07 60.83
Fractional positions:
Zr: 0.2013 0.2013 0.2018
Zr: 0.7987 0.7987 0.7982
Ti: 0.5000 0.5000 0.0000
Co: 0.2325 0.7675 0.5000
Co: 0.7675 0.2325 0.5000

## ii
First-principles (PBE) data for a relaxed Zr2TiCo2 crystal, as listed in Alexandria.

Output
total magnetization	3.1	μB/cell
calculated volume	168	Å³/cell

a b c (Å): 7.5228 7.5228 2.9669
angles (deg): 90.00 90.00 90.00
Fractional positions:
Zr: 0.1532 0.3468 0.0000
Zr: 0.3468 0.8468 0.0000
Zr: 0.6532 0.1532 0.0000
Zr: 0.8468 0.6532 0.0000
Ti: 0.0000 0.0000 0.0000
Ti: 0.5000 0.5000 0.0000
Co: 0.1464 0.6464 0.5000
Co: 0.3535 0.1464 0.5000
Co: 0.6464 0.8536 0.5000
Co: 0.8536 0.3535 0.5000

## iii
First-principles (PBE) data for a relaxed Zr2TiCo2 crystal, as listed in Alexandria.

Output
total magnetization	0.0	μB/cell
calculated volume	166	Å³/cell

a b c (Å): 5.3232 5.3232 6.9716
angles (deg): 101.28 101.28 59.62
Fractional positions:
Zr: 0.0226 0.2759 0.1517
Zr: 0.2759 0.0226 0.6517
Zr: 0.7241 0.9774 0.3483
Zr: 0.9774 0.7241 0.8483
Ti: 0.3651 0.6349 0.2500
Ti: 0.6349 0.3651 0.7500
Co: 0.2317 0.4956 0.4969
Co: 0.4956 0.2317 0.9969
Co: 0.5044 0.7683 0.0031
Co: 0.7683 0.5044 0.5031

Which of them is least stable? Easy: ii.

## i
First-principles (PBE) data for a relaxed ZrTi3Co crystal, as listed in Alexandria.

Output
total magnetization	0.0	μB/cell
calculated volume	185	Å³/cell

a b c (Å): 6.3958 6.3958 6.3958
angles (deg): 119.24 90.28 120.44
Fractional positions:
Zr: 0.3170 0.0670 0.2500
Zr: 0.6830 0.9330 0.7500
Ti: 0.1853 0.4353 0.7500
Ti: 0.2246 0.0000 0.7246
Ti: 0.2246 0.5000 0.2246
Ti: 0.7754 0.0000 0.2754
Ti: 0.7754 0.5000 0.7754
Ti: 0.8147 0.5647 0.2500
Co: 0.0000 0.5000 0.5000
Co: 0.5000 0.5000 0.0000

## ii
First-principles (PBE) data for a relaxed ZrTi3Co crystal, as listed in Alexandria.

Output
total magnetization	0.0	μB/cell
calculated volume	103	Å³/cell

a b c (Å): 4.6889 4.6889 4.6889
angles (deg): 90.00 90.00 90.00
Fractional positions:
Zr: 0.0000 0.0000 0.0000
Ti: 0.0000 0.0000 0.5000
Ti: 0.0000 0.5000 0.0000
Ti: 0.5000 0.0000 0.0000
Co: 0.5000 0.5000 0.5000

Which of them is least stable? Easy: ii.